The following is a SCAN calculation of BaMn2Be at its PBEsol-relaxed geometry, from Alexandria via LeMat-Bulk.

Summary:
energy of formation from the pure elements = 0.86 eV/atom
space-group type = Pmmm, No. 47

```
data_BaMn2Be
_symmetry_space_group_name_H-M 'P 1'
_symmetry_Int_Tables_number 1
_cell_length_a 3.158
_cell_length_b 4.724
_cell_length_c 5.007
_cell_angle_alpha 90.00
_cell_angle_beta 90.00
_cell_angle_gamma 90.00
loop_
_symmetry_equiv_pos_as_xyz
'x,y,z'
loop_
_atom_site_label
_atom_site_fract_x
_atom_site_fract_y
_atom_site_fract_z
Be1 0.000 0.500 0.500
Mn1 0.000 0.000 0.000
Mn2 0.500 0.000 0.500
Ba1 0.500 0.500 0.000
```



The following is a SCAN calculation of Ce4Y2O11 at its PBEsol-relaxed geometry, from Alexandria via LeMat-Bulk.

Summary:
space-group type = P-4m2, No. 115
uncorrected formation energy = -3.762 eV per atom

```
data_Ce4Y2O11
_symmetry_space_group_name_H-M 'P 1'
_symmetry_Int_Tables_number 1
_cell_length_a 3.809
_cell_length_b 3.809
_cell_length_c 16.085
_cell_angle_alpha 90.00
_cell_angle_beta 90.00
_cell_angle_gamma 90.00
loop_
_symmetry_equiv_pos_as_xyz
'x,y,z'
loop_
_atom_site_label
_atom_site_fract_x
_atom_site_fract_y
_atom_site_fract_z
Ce1 0.500 0.000 0.248
Ce2 0.000 0.500 0.416
Ce3 0.500 0.000 0.584
Ce4 0.000 0.500 0.752
Y1 0.500 0.000 0.908
Y2 0.000 0.500 0.092
O1 0.500 0.500 0.000
O2 0.000 0.000 0.153
O3 0.500 0.500 0.172
O4 0.500 0.500 0.335
O5 0.000 0.000 0.328
O6 0.000 0.000 0.500
O7 0.500 0.500 0.500
O8 0.000 0.000 0.672
O9 0.500 0.500 0.665
O10 0.000 0.000 0.847
O11 0.500 0.500 0.828
```



The following is a SCAN calculation of NiMo2Au at its PBEsol-relaxed geometry, from Alexandria via LeMat-Bulk.

Summary:
energy of formation from the pure elements = 0.57 eV/atom
space-group type = Fm-3m, No. 225

```
data_NiMo2Au
_symmetry_space_group_name_H-M 'P 1'
_symmetry_Int_Tables_number 1
_cell_length_a 4.368
_cell_length_b 4.368
_cell_length_c 4.368
_cell_angle_alpha 60.00
_cell_angle_beta 60.00
_cell_angle_gamma 60.00
loop_
_symmetry_equiv_pos_as_xyz
'x,y,z'
loop_
_atom_site_label
_atom_site_fract_x
_atom_site_fract_y
_atom_site_fract_z
Au1 0.000 0.000 0.000
Mo1 0.250 0.250 0.250
Mo2 0.750 0.750 0.750
Ni1 0.500 0.500 0.500
```



The following is a SCAN calculation of CaSmAg2 at its PBEsol-relaxed geometry, from Alexandria via LeMat-Bulk.

Summary:
energy of formation from the pure elements = -0.34 eV/atom
space-group type = Fm-3m, No. 225

```
data_CaSmAg2
_symmetry_space_group_name_H-M 'P 1'
_symmetry_Int_Tables_number 1
_cell_length_a 5.120
_cell_length_b 5.120
_cell_length_c 5.120
_cell_angle_alpha 60.00
_cell_angle_beta 60.00
_cell_angle_gamma 60.00
loop_
_symmetry_equiv_pos_as_xyz
'x,y,z'
loop_
_atom_site_label
_atom_site_fract_x
_atom_site_fract_y
_atom_site_fract_z
Ca1 0.000 0.000 0.000
Sm1 0.500 0.500 0.500
Ag1 0.750 0.750 0.750
Ag2 0.250 0.250 0.250
```



The following is a SCAN calculation of EuAl3Pd2 at its PBEsol-relaxed geometry, from Alexandria via LeMat-Bulk.

Summary:
energy of formation from the pure elements = -0.86 eV/atom
space-group type = P6/mmm, No. 191

```
data_EuAl3Pd2
_symmetry_space_group_name_H-M 'P 1'
_symmetry_Int_Tables_number 1
_cell_length_a 4.168
_cell_length_b 5.446
_cell_length_c 5.446
_cell_angle_alpha 120.00
_cell_angle_beta 90.00
_cell_angle_gamma 90.00
loop_
_symmetry_equiv_pos_as_xyz
'x,y,z'
loop_
_atom_site_label
_atom_site_fract_x
_atom_site_fract_y
_atom_site_fract_z
Eu1 0.000 0.000 0.000
Al1 0.500 0.500 0.000
Al2 0.500 0.000 0.500
Al3 0.500 0.500 0.500
Pd1 0.000 0.333 0.667
Pd2 0.000 0.667 0.333
```



The following is a SCAN calculation of PtRh2Au at its PBEsol-relaxed geometry, from Alexandria via LeMat-Bulk.

Summary:
energy of formation from the pure elements = 0.06 eV/atom
space-group type = R3m, No. 160

```
data_PtRh2Au
_symmetry_space_group_name_H-M 'P 1'
_symmetry_Int_Tables_number 1
_cell_length_a 2.741
_cell_length_b 2.741
_cell_length_c 9.181
_cell_angle_alpha 81.41
_cell_angle_beta 81.41
_cell_angle_gamma 60.00
loop_
_symmetry_equiv_pos_as_xyz
'x,y,z'
loop_
_atom_site_label
_atom_site_fract_x
_atom_site_fract_y
_atom_site_fract_z
Rh1 0.002 0.002 0.993
Rh2 0.746 0.746 0.763
Au1 0.498 0.498 0.505
Pt1 0.254 0.254 0.239
```



no.,V (Å³ per cell),density (Mg/m³)
1,75,5.7
2,233,6.5
3,59,12.6
4,95,7.1
5,107,6.9
6,59,16.9